# 1
# PBE-GGA Rb2MoHRh, relaxed
# DOS(E_F) = 1.12 states/eV/atom
# uncorrected energy = -3.419 eV/atom
# crystal system = tetragonal
data_Rb2MoHRh
_chemical_formula_sum 'Rb2 Mo1 H1 Rh1'
_symmetry_space_group_name_H-M 'P 4/m m m'
_symmetry_Int_Tables_number 123
_symmetry_space_group_name_Hall '-P 4 2'
_cell_length_a 5.729
_cell_length_b 5.729
_cell_length_c 3.973
_cell_angle_alpha 90.00
_cell_angle_beta 90.00
_cell_angle_gamma 90.00
loop_
_atom_site_label
_atom_site_fract_x
_atom_site_fract_y
_atom_site_fract_z
Rb1 0.000 0.500 0.000
Mo1 0.000 0.000 0.500
H1 0.000 0.000 0.000
Rh1 0.500 0.500 0.500

# 2
# PBE-GGA RbSnMoH2, relaxed
# DOS(E_F) = 0.17 states/eV/atom
# uncorrected energy = -3.419 eV/atom
# crystal system = tetragonal
data_RbSnMoH2
_chemical_formula_sum 'Rb1 Sn1 Mo1 H2'
_symmetry_space_group_name_H-M 'P 4/m m m'
_symmetry_Int_Tables_number 123
_symmetry_space_group_name_Hall '-P 4 2'
_cell_length_a 4.692
_cell_length_b 4.692
_cell_length_c 5.593
_cell_angle_alpha 90.00
_cell_angle_beta 90.00
_cell_angle_gamma 90.00
loop_
_atom_site_label
_atom_site_fract_x
_atom_site_fract_y
_atom_site_fract_z
Rb1 0.000 0.000 0.000
Sn1 0.500 0.500 0.500
Mo1 0.500 0.500 0.000
H1 0.000 0.500 0.500